# 1
Rb2Cd2Te4Pb: optimized geometry, PBE-GGA.

Values from the calculation:
- E_form (uncorrected): -65.6 kJ per mole of atoms
- Space-group type: C2/m, No. 12
- V: 38.19 Å³ per atom

a b c (Å): 9.0745 9.0745 8.8333
angles (deg): 108.60 108.60 30.04
Closest atoms and distances in Å follow each position.
Atoms (fractional coordinates):
Rb1 0.1262 0.1262 0.0530  7 Te 3.80-3.91, 1 Rb 4.21
Rb2 0.8738 0.8738 0.9470  7 Te 3.80-3.91, 1 Rb 4.21
Cd1 0.3302 0.3302 0.5218  4 Te 2.79-3.01
Cd2 0.6698 0.6698 0.4782  4 Te 2.79-3.01
Te1 0.2043 0.2043 0.6859  3 Cd 2.92-3.01
Te2 0.4844 0.4844 0.7508  1 Cd 2.79
Te3 0.5156 0.5156 0.2492  1 Cd 2.79
Te4 0.7957 0.7957 0.3141  3 Cd 2.92-3.01
Pb1 0.0000 0.0000 0.5000  6 Te 3.30-3.41



# 2
Rb2Tl6CdPb: optimized geometry, PBE-GGA.

Values from the calculation:
- D(E_F): 10.6 states/eV/cell
- Formation energy: 0.13 eV/f.u.
- Space-group type: R-3m, No. 166
- V: 40.84 Å³ per atom

a b c (Å): 14.3143 14.3143 14.3143
angles (deg): 33.99 33.99 33.99
Closest atoms and distances in Å follow each position.
Atoms (fractional coordinates):
Rb1 0.1519 0.1519 0.1519  6 Tl 3.90-3.99
Rb2 0.2895 0.2895 0.2895  1 Pb 3.64, 3 Tl 3.84
Rb3 0.7105 0.7105 0.7105  1 Pb 3.64, 3 Tl 3.84
Rb4 0.8481 0.8481 0.8481  6 Tl 3.90-3.99
Tl1 0.1500 0.5923 0.5923  1 Cd 3.09, 2 Tl 3.28, 1 Pb 3.40
Tl2 0.1890 0.8090 0.8090  1 Pb 3.08, 4 Tl 3.18-3.28, 1 Cd 3.18
Tl3 0.1910 0.1910 0.8110  1 Pb 3.08, 4 Tl 3.18-3.28, 1 Cd 3.18
Tl4 0.1910 0.8110 0.1910  1 Pb 3.08, 4 Tl 3.18-3.28, 1 Cd 3.18
Tl5 0.4077 0.4077 0.8500  1 Cd 3.09, 2 Tl 3.28, 1 Pb 3.40
Tl6 0.4077 0.8500 0.4077  1 Cd 3.09, 2 Tl 3.28, 1 Pb 3.40
Tl7 0.5923 0.1500 0.5923  1 Cd 3.09, 2 Tl 3.28, 1 Pb 3.40
Tl8 0.5923 0.5923 0.1500  1 Cd 3.09, 2 Tl 3.28, 1 Pb 3.40
Tl9 0.8090 0.1890 0.8090  1 Pb 3.08, 4 Tl 3.18-3.28, 1 Cd 3.18
Tl10 0.8090 0.8090 0.1890  1 Pb 3.08, 4 Tl 3.18-3.28, 1 Cd 3.18
Tl11 0.8110 0.1910 0.1910  1 Pb 3.08, 4 Tl 3.18-3.28, 1 Cd 3.18
Tl12 0.8500 0.4077 0.4077  1 Cd 3.09, 2 Tl 3.28, 1 Pb 3.40
Cd1 0.0000 0.0000 0.0000  6 Tl 3.18
Cd2 0.5000 0.5000 0.5000  6 Tl 3.09
Pb1 0.3795 0.3795 0.3795  6 Tl 3.08-3.40
Pb2 0.6205 0.6205 0.6205  6 Tl 3.08-3.40



# 3
RbTl2CdPb: optimized geometry, PBE-GGA.

Values from the calculation:
- D(E_F): 3.0 states/eV/cell
- Formation energy: -0.20 eV/f.u.
- Space-group type: I-4m2, No. 119
- V: 35.51 Å³ per atom

a b c (Å): 7.5891 7.5891 7.5891
angles (deg): 140.20 140.20 57.55
Closest atoms and distances in Å follow each position.
Atoms (fractional coordinates):
Rb1 0.0000 0.0000 0.0000  8 Tl 3.96, 4 Cd 4.21, 4 Pb 4.21
Tl1 0.3842 0.3842 0.0000  1 Tl 3.08, 2 Cd 3.14, 2 Pb 3.14
Tl2 0.6158 0.6158 0.0000  1 Tl 3.08, 2 Cd 3.14, 2 Pb 3.14
Cd1 0.2500 0.7500 0.5000  4 Tl 3.14
Pb1 0.7500 0.2500 0.5000  4 Tl 3.14



# 4
RbTl4CdPb2: optimized geometry, PBE-GGA.

Values from the calculation:
- D(E_F): 4.3 states/eV/cell
- Formation energy: -0.12 eV/f.u.
- Space-group type: R-3m, No. 166
- V: 32.93 Å³ per atom

a b c (Å): 10.2615 10.2615 10.2615
angles (deg): 31.60 31.60 31.60
Closest atoms and distances in Å follow each position.
Atoms (fractional coordinates):
Rb1 0.0000 0.0000 0.0000  8 Tl 3.69-3.85, 6 Pb 4.12
Tl1 0.1319 0.1319 0.1319  4 Pb 3.32-3.47, 3 Cd 3.38
Tl2 0.3948 0.3948 0.3948  1 Cd 3.08, 3 Pb 3.32
Tl3 0.6052 0.6052 0.6052  1 Cd 3.08, 3 Pb 3.32
Tl4 0.8681 0.8681 0.8681  4 Pb 3.32-3.47, 3 Cd 3.38
Cd1 0.5000 0.5000 0.5000  8 Tl 3.08-3.38
Pb1 0.2455 0.2455 0.2455  7 Tl 3.32-3.47
Pb2 0.7545 0.7545 0.7545  7 Tl 3.32-3.47



# 5
RbTlCdPb: optimized geometry, PBE-GGA.

Values from the calculation:
- D(E_F): 1.5 states/eV/cell
- Formation energy: -0.01 eV/f.u.
- Space-group type: F-43m, No. 216
- V: 32.96 Å³ per atom

a b c (Å): 5.7131 5.7131 5.7131
angles (deg): 60.00 60.00 60.00
Closest atoms and distances in Å follow each position.
Atoms (fractional coordinates):
Rb1 0.0000 0.0000 0.0000  4 Cd 3.50, 4 Tl 3.50
Tl1 0.7500 0.7500 0.7500  4 Pb 3.50, 4 Rb 3.50
Cd1 0.2500 0.2500 0.2500  4 Pb 3.50, 4 Rb 3.50
Pb1 0.5000 0.5000 0.5000  4 Cd 3.50, 4 Tl 3.50



# 6
RbZnCd2Pb: optimized geometry, PBE-GGA.

Values from the calculation:
- D(E_F): 3.5 states/eV/cell
- Formation energy: 0.59 eV/f.u.
- Space-group type: P4/mmm, No. 123
- V: 32.23 Å³ per atom

a b c (Å): 5.3442 5.3442 5.6431
angles (deg): 90.00 90.00 90.00
Closest atoms and distances in Å follow each position.
Atoms (fractional coordinates):
Rb1 0.0000 0.0000 0.0000  4 Pb 3.78, 8 Cd 3.89
Zn1 0.5000 0.5000 0.5000  4 Cd 2.67, 2 Pb 2.82
Cd1 0.0000 0.5000 0.5000  2 Zn 2.67
Cd2 0.5000 0.0000 0.5000  2 Zn 2.67
Pb1 0.5000 0.5000 0.0000  2 Zn 2.82



# 7
CdRePb2: optimized geometry, PBE-GGA.

Values from the calculation:
- D(E_F): 2.6 states/eV/cell
- Formation energy: 2.68 eV/f.u.
- Space-group type: P4/mmm, No. 123
- V: 25.16 Å³ per atom

a b c (Å): 3.2203 3.2203 9.7066
angles (deg): 90.00 90.00 90.00
Closest atoms and distances in Å follow each position.
Atoms (fractional coordinates):
Cd1 0.0000 0.0000 0.0000  4 Cd 3.22
Re1 0.0000 0.0000 0.5000  8 Pb 2.98, 4 Re 3.22
Pb1 0.5000 0.5000 0.3027  4 Re 2.98, 4 Pb 3.22
Pb2 0.5000 0.5000 0.6973  4 Re 2.98, 4 Pb 3.22



# 8
CdRePb4: optimized geometry, PBE-GGA.

Values from the calculation:
- D(E_F): 4.5 states/eV/cell
- Formation energy: 6.53 eV/f.u.
- Space-group type: F-43m, No. 216
- V: 30.13 Å³ per atom

a b c (Å): 6.3471 6.3471 6.3471
angles (deg): 60.00 60.00 60.00
Closest atoms and distances in Å follow each position.
Atoms (fractional coordinates):
Cd1 0.0000 0.0000 0.0000  12 Pb 3.72, 4 Re 3.89
Re1 0.2500 0.2500 0.2500  12 Pb 3.72, 4 Cd 3.89
Pb1 0.1270 0.6243 0.6243  6 Pb 3.16-3.19
Pb2 0.6243 0.1270 0.6243  6 Pb 3.16-3.19
Pb3 0.6243 0.6243 0.1270  6 Pb 3.16-3.19
Pb4 0.6243 0.6243 0.6243  6 Pb 3.16-3.19